The following is a PBE calculation of a relaxed BaAg3C crystal, from Alexandria via LeMat-Bulk.

Unit cell a=6.361 b=6.361 c=6.361 alpha=90.00 beta=90.00 gamma=90.00
Space group Pm-3m (No. 221)
One atom of each set of equivalent atoms:
Ba 0.000 0.000 0.000
Ag 0.000 0.000 0.500
C 0.500 0.500 0.500

Formation enthalpy at 0 K   2.270 eV/atom
Energy above the lowest structure with this stoichiometry   1.6697 eV per atom
Spin magnetization   1.0 μB per cell



The following is a PBE calculation of a relaxed ZrScSb2 crystal, from Alexandria via LeMat-Bulk.

Unit cell a=4.292 b=5.462 c=7.962 alpha=90.00 beta=90.00 gamma=90.00
Space group Immm (No. 71)
One atom of each set of equivalent atoms:
Zr 0.000 0.000 0.000
Sc 0.000 0.000 0.500
Sb 0.000 0.500 0.245

Energy above the lowest structure with this stoichiometry   0.1596 eV per atom
Spin magnetization   0.0 μB per cell
Energy relative to the elements, uncorrected   -0.601 eV/atom



The following is a PBE calculation of a relaxed GeAsPSe2 crystal, from Alexandria via LeMat-Bulk.

Unit cell a=4.931 b=4.931 c=4.663 alpha=90.00 beta=90.00 gamma=90.00
Space group P4/mmm (No. 123)
One atom of each set of equivalent atoms:
Ge 0.000 0.000 0.000
As 0.500 0.500 0.000
P 0.500 0.500 0.500
Se 0.000 0.500 0.500

Energy above the lowest structure with this stoichiometry   0.0000 eV per atom
Spin magnetization   0.0 μB per cell
Energy relative to the elements, uncorrected   0.544 eV/atom



The following is a PBE calculation of a relaxed Pm3AsPN crystal, from Alexandria via LeMat-Bulk.

Unit cell a=8.503 b=4.122 c=9.247 alpha=90.00 beta=99.50 gamma=90.00
Space group P2_1/m (No. 11)
One atom of each set of equivalent atoms:
Pm 0.094 0.250 0.353
Pm 0.334 0.250 0.992
Pm 0.394 0.750 0.660
As 0.327 0.750 0.296
P 0.149 0.250 0.659
N 0.406 0.750 0.902

Spin magnetization   0.0 μB per cell
Energy relative to the elements, uncorrected   -1.338 eV/atom